#1
Entry from Alexandria: an optimized crystal structure of PaAl4Ni2 (PBE-GGA).

Output
Its volume is 113 Å³/f.u. As for the space group: No. 65.

abc: 6.9405 6.9405 4.1421
angles: 90.00 90.00 145.34
Fractional coordinates of all 7 atoms:
Pa1 0.0000 0.0000 0.0000
Al1 0.1797 0.8203 0.5000
Al2 0.3214 0.6786 0.0000
Al3 0.6786 0.3214 0.0000
Al4 0.8203 0.1797 0.5000
Ni1 0.4095 0.5905 0.5000
Ni2 0.5905 0.4095 0.5000


#2
Entry from Alexandria: an optimized crystal structure of PaAl4Ni2 (PBE-GGA).

Output
Its volume is 112 Å³/f.u. As for the space group: No. 62.

abc: 16.5448 4.1415 6.5253
angles: 90.00 90.00 90.00
Fractional coordinates of all 28 atoms:
Pa1 0.1322 0.2500 0.0188
Pa2 0.3678 0.7500 0.5188
Pa3 0.6322 0.2500 0.4812
Pa4 0.8678 0.7500 0.9812
Al1 0.0348 0.7500 0.8070
Al2 0.0762 0.2500 0.5051
Al3 0.1866 0.7500 0.3329
Al4 0.1969 0.7500 0.7276
Al5 0.3031 0.2500 0.2276
Al6 0.3134 0.2500 0.8329
Al7 0.4238 0.7500 0.0051
Al8 0.4652 0.2500 0.3070
Al9 0.5348 0.7500 0.6930
Al10 0.5762 0.2500 0.9949
Al11 0.6866 0.7500 0.1671
Al12 0.6969 0.7500 0.7724
Al13 0.8031 0.2500 0.2724
Al14 0.8134 0.2500 0.6671
Al15 0.9238 0.7500 0.4949
Al16 0.9652 0.2500 0.1930
Ni1 0.0405 0.7500 0.2382
Ni2 0.2233 0.2500 0.5344
Ni3 0.2767 0.7500 0.0344
Ni4 0.4595 0.2500 0.7382
Ni5 0.5405 0.7500 0.2618
Ni6 0.7233 0.2500 0.9656
Ni7 0.7767 0.7500 0.4656
Ni8 0.9595 0.2500 0.7618


What should be chosen as the least stable of them? Choose #1.


#1
Entry from Alexandria: an optimized crystal structure of Pa2AlNi9 (PBE-GGA).

Output
Its volume is 165 Å³/f.u. As for the space group: No. 166.

abc: 8.6488 8.6488 8.6488
angles: 32.38 32.38 32.38
Fractional coordinates of all 12 atoms:
Pa1 0.1354 0.1354 0.1354
Pa2 0.8646 0.8646 0.8646
Al1 0.0000 0.0000 0.0000
Ni1 0.0816 0.5829 0.5829
Ni2 0.3329 0.3329 0.3329
Ni3 0.4171 0.4171 0.9184
Ni4 0.4171 0.9184 0.4171
Ni5 0.5000 0.5000 0.5000
Ni6 0.5829 0.0816 0.5829
Ni7 0.5829 0.5829 0.0816
Ni8 0.6671 0.6671 0.6671
Ni9 0.9184 0.4171 0.4171


#2
Entry from Alexandria: an optimized crystal structure of Pa2AlNi9 (PBE-GGA).

Output
Its volume is 161 Å³/f.u. As for the space group: No. 123.

abc: 3.8393 3.8393 10.9428
angles: 90.00 90.00 90.00
Fractional coordinates of all 12 atoms:
Pa1 0.0000 0.0000 0.1822
Pa2 0.0000 0.0000 0.8178
Al1 0.0000 0.0000 0.5000
Ni1 0.0000 0.5000 0.0000
Ni2 0.0000 0.5000 0.3478
Ni3 0.0000 0.5000 0.6522
Ni4 0.5000 0.0000 0.0000
Ni5 0.5000 0.0000 0.3478
Ni6 0.5000 0.0000 0.6522
Ni7 0.5000 0.5000 0.1710
Ni8 0.5000 0.5000 0.5000
Ni9 0.5000 0.5000 0.8290


What should be chosen as the least stable of them? Choose #1.


#1
Entry from Alexandria: an optimized crystal structure of PaAlNi6 (PBE-GGA).

Output
Its volume is 105 Å³/f.u. As for the space group: No. 200.

abc: 4.7150 4.7150 4.7150
angles: 90.00 90.00 90.00
Fractional coordinates of all 8 atoms:
Pa1 0.0000 0.0000 0.0000
Al1 0.5000 0.5000 0.5000
Ni1 0.0000 0.2550 0.5000
Ni2 0.0000 0.7450 0.5000
Ni3 0.2550 0.5000 0.0000
Ni4 0.5000 0.0000 0.2550
Ni5 0.5000 0.0000 0.7450
Ni6 0.7450 0.5000 0.0000


#2
Entry from Alexandria: an optimized crystal structure of PaAlNi6 (PBE-GGA).

Output
Its volume is 114 Å³/f.u. As for the space group: No. 166.

abc: 4.8904 4.8904 4.8904
angles: 82.83 82.83 82.83
Fractional coordinates of all 8 atoms:
Pa1 0.0000 0.0000 0.0000
Al1 0.5000 0.5000 0.5000
Ni1 0.0319 0.6547 0.6547
Ni2 0.3453 0.3453 0.9681
Ni3 0.3453 0.9681 0.3453
Ni4 0.6547 0.0319 0.6547
Ni5 0.6547 0.6547 0.0319
Ni6 0.9681 0.3453 0.3453


What should be chosen as the least stable of them? Choose #2.


#1
Entry from Alexandria: an optimized crystal structure of AlNi2Pb (PBE-GGA).

Output
Its volume is 60 Å³/f.u. As for the space group: No. 225.

abc: 4.4048 4.4048 4.4048
angles: 60.00 60.00 60.00
Fractional coordinates of all 4 atoms:
Al1 0.0000 0.0000 0.0000
Ni1 0.2500 0.2500 0.2500
Ni2 0.7500 0.7500 0.7500
Pb1 0.5000 0.5000 0.5000


#2
Entry from Alexandria: an optimized crystal structure of AlNi2Pb (PBE-GGA).

Output
Its volume is 61 Å³/f.u. As for the space group: No. 119.

abc: 5.0051 5.0051 5.0051
angles: 135.30 135.30 65.07
Fractional coordinates of all 4 atoms:
Al1 0.0000 0.0000 0.0000
Ni1 0.2500 0.7500 0.5000
Ni2 0.5000 0.5000 0.0000
Pb1 0.7500 0.2500 0.5000


#3
Entry from Alexandria: an optimized crystal structure of AlNi2Pb (PBE-GGA).

Output
Its volume is 62 Å³/f.u. As for the space group: No. 123.

abc: 3.0723 3.0723 6.5597
angles: 90.00 90.00 90.00
Fractional coordinates of all 4 atoms:
Al1 0.0000 0.0000 0.0000
Ni1 0.5000 0.5000 0.1942
Ni2 0.5000 0.5000 0.8058
Pb1 0.0000 0.0000 0.5000


#4
Entry from Alexandria: an optimized crystal structure of AlNi2Pb (PBE-GGA).

Output
Its volume is 65 Å³/f.u. As for the space group: No. 38.

abc: 3.8684 5.4381 5.4381
angles: 34.62 90.00 90.00
Fractional coordinates of all 4 atoms:
Al1 0.0000 0.0000 0.0000
Ni1 0.0000 0.6822 0.6822
Ni2 0.5000 0.5341 0.5341
Pb1 0.5000 0.2791 0.2791


What should be chosen as the least stable of them? Choose #2.


#1
Entry from Alexandria: an optimized crystal structure of AlNiPb3 (PBE-GGA).

Output
Its volume is 138 Å³/f.u. As for the space group: No. 221.

abc: 5.1667 5.1667 5.1667
angles: 90.00 90.00 90.00
Fractional coordinates of all 5 atoms:
Al1 0.0000 0.0000 0.0000
Ni1 0.5000 0.5000 0.5000
Pb1 0.0000 0.5000 0.5000
Pb2 0.5000 0.0000 0.5000
Pb3 0.5000 0.5000 0.0000


#2
Entry from Alexandria: an optimized crystal structure of AlNiPb3 (PBE-GGA).

Output
Its volume is 155 Å³/f.u. As for the space group: No. 221.

abc: 5.3679 5.3679 5.3679
angles: 90.00 90.00 90.00
Fractional coordinates of all 5 atoms:
Al1 0.0000 0.0000 0.0000
Ni1 0.5000 0.5000 0.5000
Pb1 0.0000 0.0000 0.5000
Pb2 0.0000 0.5000 0.0000
Pb3 0.5000 0.0000 0.0000


What should be chosen as the least stable of them? Choose #2.


#1
Entry from Alexandria: an optimized crystal structure of AlNi3Pd (PBE-GGA).

Output
Its volume is 76 Å³/f.u. As for the space group: No. 221.

abc: 4.2277 4.2277 4.2277
angles: 90.00 90.00 90.00
Fractional coordinates of all 5 atoms:
Al1 0.0000 0.0000 0.0000
Ni1 0.0000 0.0000 0.5000
Ni2 0.0000 0.5000 0.0000
Ni3 0.5000 0.0000 0.0000
Pd1 0.5000 0.5000 0.5000


#2
Entry from Alexandria: an optimized crystal structure of AlNi3Pd (PBE-GGA).

Output
Its volume is 93 Å³/f.u. As for the space group: No. 221.

abc: 4.5309 4.5309 4.5309
angles: 90.00 90.00 90.00
Fractional coordinates of all 5 atoms:
Al1 0.0000 0.0000 0.0000
Ni1 0.0000 0.5000 0.5000
Ni2 0.5000 0.0000 0.5000
Ni3 0.5000 0.5000 0.0000
Pd1 0.5000 0.5000 0.5000


What should be chosen as the least stable of them? Choose #2.